Li2Nd2Al5Cu: relaxed, PBE-GGA.

The space group is P4/mbm (No. 127) and the conventional cell measures 9.464, 9.464 and 4.204 Å, with angles of 90.00, 90.00 and 90.00 degrees. The asymmetric unit holds Li at (0.110, 0.390, 0.000), Nd at (0.186, 0.686, 0.000), Al at (0.000, 0.500, 0.500), Al at (0.050, 0.197, 0.500) and Cu at (0.000, 0.000, 0.000).

The value obtained for the final energy is -77.32 eV for the cell shown.

LaNd2Si: relaxed, PBE-GGA.

The space group is Pnma (No. 62) and the conventional cell measures 7.999, 9.428 and 6.486 Å, with angles of 90.00, 90.00 and 90.00 degrees. The asymmetric unit holds La at (0.031, 0.250, 0.129), Nd at (0.188, 0.053, 0.626) and Si at (0.117, 0.750, 0.420).

The value obtained for the energy above the most stable polymorph in this dataset is 0 meV/atom. The value obtained for the final energy is -85.37 eV for the cell shown. For the uncorrected formation energy, the calculation gives -0.3642 eV/atom.

NiPtRh: relaxed, PBE-GGA.

The space group is C2/m (No. 12) and the conventional cell measures 8.562, 3.759 and 5.431 Å, with angles of 90.00, 108.53 and 90.00 degrees. The asymmetric unit holds Ni at (0.000, 0.000, 0.000), Ni at (0.000, 0.000, 0.500), Pt at (0.160, 0.500, 0.329) and Rh at (0.166, 0.500, 0.835).

The value obtained for the energy above the most stable polymorph in this dataset is 18 meV/atom. The value obtained for the final energy is -76.85 eV for the cell shown.

Please write out number 2 again, unchanged.
LaNd2Si: relaxed, PBE-GGA.

The space group is Pnma (No. 62) and the conventional cell measures 7.999, 9.428 and 6.486 Å, with angles of 90.00, 90.00 and 90.00 degrees. The asymmetric unit holds La at (0.031, 0.250, 0.129), Nd at (0.188, 0.053, 0.626) and Si at (0.117, 0.750, 0.420).

The value obtained for the energy above the most stable polymorph in this dataset is 0 meV/atom. The value obtained for the final energy is -85.37 eV for the cell shown. For the uncorrected formation energy, the calculation gives -0.3642 eV/atom.